Tb3ScSe4: optimized geometry, PBE.

Summary:
total magnetic moment = 0.000 μB/cell
space group = Cmmm, No. 65
total energy = -5.9845 eV per atom

abc: 7.0316 7.0316 4.0070
angles: 90.00 90.00 109.00
Last column: nearest neighbours and their distance in Å.
Fractional coordinates of all 8 atoms:
Tb  0.0000  0.0000  0.0000  6 Se 2.93
Tb  0.0000  0.5000  0.5000  6 Se 2.86
Tb  0.5000  0.0000  0.5000  6 Se 2.86
Sc  0.5000  0.5000  0.0000  6 Se 2.80
Se  0.2557  0.7443  0.0000  1 Sc 2.80, 5 Tb 2.86-2.93
Se  0.2613  0.2613  0.5000  2 Sc 2.80, 4 Tb 2.86-2.93
Se  0.7387  0.7387  0.5000  2 Sc 2.80, 4 Tb 2.86-2.93
Se  0.7443  0.2557  0.0000  1 Sc 2.80, 5 Tb 2.86-2.93